Entry 1:
# GGA-PBE Ac6Ag5Ge, relaxed
# Volume   369.87 Å³/cell
# Symmetry   Cmmm
# VASP energy   -47.38 eV per cell
# Total moment   0.00 Bohr magnetons per cell
data_Ac6Ag5Ge
_chemical_formula_sum 'Ac6 Ag5 Ge1'
_space_group_name_H-M_alt 'P 1'
_space_group_IT_number 1
_cell_length_a 5.567
_cell_length_b 7.890
_cell_length_c 8.869
_cell_angle_alpha 90.00
_cell_angle_beta 71.71
_cell_angle_gamma 90.00
loop_
_space_group_symop_operation_xyz
'x,y,z'
loop_
_atom_site_label
_atom_site_type_symbol
_atom_site_fract_x
_atom_site_fract_y
_atom_site_fract_z
Ag1 Ag 0.328 0.000 0.345
Ag2 Ag 0.331 0.500 0.338
Ag3 Ag 0.669 0.500 0.662
Ag4 Ag 0.672 0.000 0.655
Ag5 Ag 0.000 0.500 0.000
Ac1 Ac 0.836 0.752 0.328
Ac2 Ac 0.500 0.244 0.000
Ac3 Ac 0.164 0.248 0.672
Ac4 Ac 0.500 0.756 0.000
Ac5 Ac 0.164 0.752 0.672
Ac6 Ac 0.836 0.248 0.328
Ge1 Ge 0.000 0.000 0.000



Entry 2:
# GGA-PBE GaNi4Rh7, relaxed
# Volume   162.27 Å³/cell
# Symmetry   P-1
# VASP energy   -77.28 eV per cell
# Total moment   3.31 Bohr magnetons per cell
data_GaNi4Rh7
_chemical_formula_sum 'Ga1 Ni4 Rh7'
_space_group_name_H-M_alt 'P 1'
_space_group_IT_number 1
_cell_length_a 4.966
_cell_length_b 4.808
_cell_length_c 8.651
_cell_angle_alpha 75.66
_cell_angle_beta 54.33
_cell_angle_gamma 84.50
loop_
_space_group_symop_operation_xyz
'x,y,z'
loop_
_atom_site_label
_atom_site_type_symbol
_atom_site_fract_x
_atom_site_fract_y
_atom_site_fract_z
Rh1 Rh 0.500 0.000 0.000
Rh2 Rh 0.194 0.499 0.057
Rh3 Rh 0.969 0.704 0.370
Rh4 Rh 0.806 0.501 0.943
Rh5 Rh 0.031 0.296 0.630
Rh6 Rh 0.730 0.203 0.406
Rh7 Rh 0.270 0.797 0.594
Ni1 Ni 0.659 0.822 0.703
Ni2 Ni 0.341 0.178 0.297
Ni3 Ni 0.558 0.656 0.272
Ni4 Ni 0.442 0.344 0.728
Ga1 Ga 0.000 0.000 0.000



Entry 3:
# GGA-PBE HoTlCdCu, relaxed
# Volume   86.94 Å³/cell
# Symmetry   F-43m
# VASP energy   -12.41 eV per cell
# Total moment   0.00 Bohr magnetons per cell
data_HoTlCdCu
_chemical_formula_sum 'Ho1 Tl1 Cd1 Cu1'
_space_group_name_H-M_alt 'P 1'
_space_group_IT_number 1
_cell_length_a 4.973
_cell_length_b 4.973
_cell_length_c 4.973
_cell_angle_alpha 60.00
_cell_angle_beta 60.00
_cell_angle_gamma 60.00
loop_
_space_group_symop_operation_xyz
'x,y,z'
loop_
_atom_site_label
_atom_site_type_symbol
_atom_site_fract_x
_atom_site_fract_y
_atom_site_fract_z
Tl1 Tl 0.500 0.500 0.500
Cd1 Cd 0.750 0.750 0.750
Cu1 Cu 0.000 0.000 0.000
Ho1 Ho 0.250 0.250 0.250



Entry 4:
# GGA-PBE NdErPu2Te5, relaxed
# Uncorrected formation energy   -0.723 eV/atom
# Volume   353.62 Å³/cell
# Symmetry   P4/mmm
# Total moment   11.92 Bohr magnetons per cell
data_NdErPu2Te5
_chemical_formula_sum 'Nd1 Er1 Pu2 Te5'
_space_group_name_H-M_alt 'P 1'
_space_group_IT_number 1
_cell_length_a 5.484
_cell_length_b 5.484
_cell_length_c 11.759
_cell_angle_alpha 90.00
_cell_angle_beta 90.00
_cell_angle_gamma 90.00
loop_
_space_group_symop_operation_xyz
'x,y,z'
loop_
_atom_site_label
_atom_site_type_symbol
_atom_site_fract_x
_atom_site_fract_y
_atom_site_fract_z
Te1 Te 0.500 0.500 0.000
Te2 Te 0.500 0.000 0.500
Te3 Te 0.000 0.000 0.249
Te4 Te 0.000 0.000 0.751
Te5 Te 0.000 0.500 0.500
Pu1 Pu 0.500 0.500 0.322
Pu2 Pu 0.500 0.500 0.678
Nd1 Nd 0.000 0.000 0.000
Er1 Er 0.000 0.000 0.500



Entry 5:
# GGA-PBE BeGeIN2, relaxed
# Uncorrected formation energy   1.275 eV/atom
# Volume   93.90 Å³/cell
# Symmetry   P4/mmm
# Total moment   0.00 Bohr magnetons per cell
data_BeGeIN2
_chemical_formula_sum 'Be1 Ge1 I1 N2'
_space_group_name_H-M_alt 'P 1'
_space_group_IT_number 1
_cell_length_a 3.672
_cell_length_b 3.672
_cell_length_c 6.963
_cell_angle_alpha 90.00
_cell_angle_beta 90.00
_cell_angle_gamma 90.00
loop_
_space_group_symop_operation_xyz
'x,y,z'
loop_
_atom_site_label
_atom_site_type_symbol
_atom_site_fract_x
_atom_site_fract_y
_atom_site_fract_z
Ge1 Ge 0.000 0.000 0.000
N1 N 0.500 0.000 0.000
N2 N 0.000 0.500 0.000
Be1 Be 0.500 0.500 0.500
I1 I 0.000 0.000 0.500



Entry 6:
# GGA-PBE Dy4Al3Tl, relaxed
# Volume   195.00 Å³/cell
# Symmetry   P4/mmm
# VASP energy   -35.07 eV per cell
# Total moment   0.00 Bohr magnetons per cell
data_Dy4Al3Tl
_chemical_formula_sum 'Dy4 Al3 Tl1'
_space_group_name_H-M_alt 'P 1'
_space_group_IT_number 1
_cell_length_a 3.621
_cell_length_b 3.621
_cell_length_c 14.871
_cell_angle_alpha 90.00
_cell_angle_beta 90.00
_cell_angle_gamma 90.00
loop_
_space_group_symop_operation_xyz
'x,y,z'
loop_
_atom_site_label
_atom_site_type_symbol
_atom_site_fract_x
_atom_site_fract_y
_atom_site_fract_z
Dy1 Dy 0.000 0.000 0.139
Dy2 Dy 0.000 0.000 0.861
Dy3 Dy 0.000 0.000 0.619
Dy4 Dy 0.000 0.000 0.381
Al1 Al 0.500 0.500 0.740
Al2 Al 0.500 0.500 0.260
Al3 Al 0.500 0.500 0.500
Tl1 Tl 0.500 0.500 0.000



Entry 7:
# GGA-PBE Cs2NaBr, relaxed
# Uncorrected formation energy   -0.815 eV/atom
# Volume   254.23 Å³/cell
# Symmetry   R3m
# Total moment   0.00 Bohr magnetons per cell
data_Cs2NaBr
_chemical_formula_sum 'Cs2 Na1 Br1'
_space_group_name_H-M_alt 'P 1'
_space_group_IT_number 1
_cell_length_a 5.212
_cell_length_b 5.212
_cell_length_c 11.218
_cell_angle_alpha 76.57
_cell_angle_beta 76.57
_cell_angle_gamma 60.00
loop_
_space_group_symop_operation_xyz
'x,y,z'
loop_
_atom_site_label
_atom_site_type_symbol
_atom_site_fract_x
_atom_site_fract_y
_atom_site_fract_z
Na1 Na 0.500 0.500 0.500
Cs1 Cs 0.267 0.267 0.199
Cs2 Cs 0.066 0.066 0.801
Br1 Br 0.667 0.667 0.000



Entry 8:
# GGA-PBE SrScGaAs2, relaxed
# Volume   158.62 Å³/cell
# Symmetry   P4/mmm
# VASP energy   -19.91 eV per cell
# Total moment   0.01 Bohr magnetons per cell
data_SrScGaAs2
_chemical_formula_sum 'Sr1 Sc1 Ga1 As2'
_space_group_name_H-M_alt 'P 1'
_space_group_IT_number 1
_cell_length_a 5.097
_cell_length_b 6.105
_cell_length_c 5.097
_cell_angle_alpha 90.00
_cell_angle_beta 90.00
_cell_angle_gamma 90.00
loop_
_space_group_symop_operation_xyz
'x,y,z'
loop_
_atom_site_label
_atom_site_type_symbol
_atom_site_fract_x
_atom_site_fract_y
_atom_site_fract_z
Ga1 Ga 0.500 0.500 0.500
As1 As 0.500 0.000 0.000
As2 As 0.000 0.000 0.500
Sr1 Sr 0.000 0.500 0.000
Sc1 Sc 0.000 0.000 0.000



Entry 9:
# GGA-PBE LuSi2Mo, relaxed
# Uncorrected formation energy   -0.267 eV/atom
# Volume   73.81 Å³/cell
# Symmetry   R-3m
# Total moment   0.00 Bohr magnetons per cell
data_LuSi2Mo
_chemical_formula_sum 'Lu1 Si2 Mo1'
_space_group_name_H-M_alt 'P 1'
_space_group_IT_number 1
_cell_length_a 3.560
_cell_length_b 3.560
_cell_length_c 7.031
_cell_angle_alpha 75.33
_cell_angle_beta 75.33
_cell_angle_gamma 60.00
loop_
_space_group_symop_operation_xyz
'x,y,z'
loop_
_atom_site_label
_atom_site_type_symbol
_atom_site_fract_x
_atom_site_fract_y
_atom_site_fract_z
Mo1 Mo 0.000 0.000 0.000
Si1 Si 0.261 0.261 0.218
Si2 Si 0.739 0.739 0.782
Lu1 Lu 0.500 0.500 0.500



Entry 10:
# GGA-PBE Fe3B, relaxed
# Volume   156.78 Å³/cell
# Symmetry   Pnma
# VASP energy   -131.69 eV per cell
# Total moment   24.42 Bohr magnetons per cell
data_Fe3B
_chemical_formula_sum 'Fe12 B4'
_space_group_name_H-M_alt 'P 1'
_space_group_IT_number 1
_cell_length_a 4.367
_cell_length_b 5.395
_cell_length_c 6.654
_cell_angle_alpha 90.00
_cell_angle_beta 90.00
_cell_angle_gamma 90.00
loop_
_space_group_symop_operation_xyz
'x,y,z'
loop_
_atom_site_label
_atom_site_type_symbol
_atom_site_fract_x
_atom_site_fract_y
_atom_site_fract_z
Fe1 Fe 0.352 0.325 0.444
Fe2 Fe 0.619 0.980 0.250
Fe3 Fe 0.381 0.020 0.750
Fe4 Fe 0.148 0.825 0.056
Fe5 Fe 0.148 0.825 0.444
Fe6 Fe 0.119 0.520 0.750
Fe7 Fe 0.352 0.325 0.056
Fe8 Fe 0.852 0.175 0.944
Fe9 Fe 0.648 0.675 0.944
Fe10 Fe 0.881 0.480 0.250
Fe11 Fe 0.852 0.175 0.556
Fe12 Fe 0.648 0.675 0.556
B1 B 0.075 0.118 0.250
B2 B 0.425 0.618 0.250
B3 B 0.575 0.382 0.750
B4 B 0.925 0.882 0.750



Entry 11:
# GGA-PBE SrAlPd2, relaxed
# Volume   216.34 Å³/cell
# Symmetry   I-42d
# VASP energy   -35.08 eV per cell
# Total moment   0.00 Bohr magnetons per cell
data_SrAlPd2
_chemical_formula_sum 'Sr2 Al2 Pd4'
_space_group_name_H-M_alt 'P 1'
_space_group_IT_number 1
_cell_length_a 5.145
_cell_length_b 5.145
_cell_length_c 8.947
_cell_angle_alpha 73.29
_cell_angle_beta 73.29
_cell_angle_gamma 90.00
loop_
_space_group_symop_operation_xyz
'x,y,z'
loop_
_atom_site_label
_atom_site_type_symbol
_atom_site_fract_x
_atom_site_fract_y
_atom_site_fract_z
Pd1 Pd 0.875 0.670 0.750
Pd2 Pd 0.420 0.125 0.250
Pd3 Pd 0.375 0.580 0.750
Pd4 Pd 0.330 0.625 0.250
Al1 Al 0.500 0.500 0.000
Al2 Al 0.250 0.750 0.500
Sr1 Sr 0.750 0.250 0.500
Sr2 Sr 0.000 0.000 0.000



Entry 12:
# GGA-PBE TcGeOs2Pt, relaxed
# Volume   92.97 Å³/cell
# Symmetry   P4/mmm
# VASP energy   -35.24 eV per cell
# Total moment   3.94 Bohr magnetons per cell
data_TcGeOs2Pt
_chemical_formula_sum 'Tc1 Ge1 Os2 Pt1'
_space_group_name_H-M_alt 'P 1'
_space_group_IT_number 1
_cell_length_a 4.538
_cell_length_b 4.538
_cell_length_c 4.514
_cell_angle_alpha 90.00
_cell_angle_beta 90.00
_cell_angle_gamma 90.00
loop_
_space_group_symop_operation_xyz
'x,y,z'
loop_
_atom_site_label
_atom_site_type_symbol
_atom_site_fract_x
_atom_site_fract_y
_atom_site_fract_z
Pt1 Pt 0.000 0.000 0.500
Ge1 Ge 0.000 0.000 0.000
Os1 Os 0.000 0.500 0.000
Os2 Os 0.500 0.000 0.000
Tc1 Tc 0.500 0.500 0.500